# 1
Entry from Alexandria via LeMat-Bulk: a geometry-optimized HfGeP2S structure (PBE).

The total energy comes out at -0.3973 Ry per atom.

The space group is P4/mmm (No. 123) and the conventional cell measures 4.600, 4.600 and 4.619 Å, with angles of 90.00, 90.00 and 90.00 degrees. Symmetry generates all atoms from Hf at (0.000, 0.000, 0.000), Ge at (0.500, 0.500, 0.500), P at (0.000, 0.500, 0.500) and S at (0.500, 0.500, 0.000).


# 2
Entry from Alexandria via LeMat-Bulk: a geometry-optimized RbPmI3 structure (PBE).

The total energy comes out at -0.2434 Ry per atom.

The space group is Pm-3m (No. 221) and the conventional cell measures 6.202, 6.202 and 6.202 Å, with angles of 90.00, 90.00 and 90.00 degrees. Symmetry generates all atoms from Rb at (0.000, 0.000, 0.000), Pm at (0.500, 0.500, 0.500) and I at (0.000, 0.500, 0.500).


# 3
Entry from Alexandria via LeMat-Bulk: a geometry-optimized ZrNi2GeH structure (PBE).

The total energy comes out at -0.4363 Ry per atom.

The space group is P4/mmm (No. 123) and the conventional cell measures 3.822, 3.822 and 4.197 Å, with angles of 90.00, 90.00 and 90.00 degrees. Symmetry generates all atoms from Zr at (0.000, 0.000, 0.000), Ni at (0.000, 0.500, 0.500), Ge at (0.500, 0.500, 0.000) and H at (0.000, 0.000, 0.500).


# 4
Entry from Alexandria via LeMat-Bulk: a geometry-optimized Sc8Cr structure (PBE).

The total energy comes out at -0.4819 Ry per atom. As for the energy of formation from the pure elements: 13.58 kJ/mol of atoms.

The space group is I4/mmm (No. 139) and the conventional cell measures 9.560, 9.560 and 4.558 Å, with angles of 90.00, 90.00 and 90.00 degrees. Symmetry generates all atoms from Sc at (0.000, 0.324, 0.000), Sc at (0.159, 0.159, 0.500) and Cr at (0.000, 0.000, 0.000).


# 5
Entry from Alexandria via LeMat-Bulk: a geometry-optimized TmVSi structure (PBE).

The total energy comes out at -0.4969 Ry per atom.

The space group is C2/m (No. 12) and the conventional cell measures 10.333, 3.754 and 7.073 Å, with angles of 90.00, 125.01 and 90.00 degrees. Symmetry generates all atoms from Tm at (0.071, 0.000, 0.306), V at (0.198, 0.500, 0.072) and Si at (0.138, 0.500, 0.673).


# 6
Entry from Alexandria via LeMat-Bulk: a geometry-optimized BaCd2BiO structure (PBE).

The total energy comes out at -0.2429 Ry per atom.

The space group is Cmcm (No. 63) and the conventional cell measures 4.250, 15.080 and 8.587 Å, with angles of 90.00, 90.00 and 90.00 degrees. Symmetry generates all atoms from Ba at (0.000, 0.021, 0.250), Cd at (0.000, 0.348, 0.036), Bi at (0.000, 0.231, 0.750) and O at (0.000, 0.500, 0.000).


# 7
Entry from Alexandria via LeMat-Bulk: a geometry-optimized Cu6AsO12 structure (PBE).

The total energy comes out at -0.3686 Ry per atom.

The space group is R-3 (No. 148, hexagonal axes) and the conventional cell measures 9.9548, 9.9548 and 7.1392 Å, with angles of 90.00, 90.00 and 120.00 degrees. Symmetry generates all atoms from Cu at (0.0075, 0.5072, 0.2621), As at (0.0000, 0.0000, 0.5000), O at (0.0331, 0.8075, 0.8879) and O at (0.0349, 0.8455, 0.3843).


# 8
Entry from Alexandria via LeMat-Bulk: a geometry-optimized La2AsRh structure (PBE).

The total energy comes out at -0.4453 Ry per atom. As for the energy of formation from the pure elements: -57.36 kJ/mol of atoms.

The space group is I-42d (No. 122) and the conventional cell measures 6.628, 6.628 and 13.039 Å, with angles of 90.00, 90.00 and 90.00 degrees. Symmetry generates all atoms from La at (0.226, 0.250, 0.125), As at (0.000, 0.000, 0.500) and Rh at (0.000, 0.000, 0.000).


# 9
Entry from Alexandria via LeMat-Bulk: a geometry-optimized PrSm2Hg3 structure (PBE).

The total energy comes out at -0.2199 Ry per atom. As for the energy of formation from the pure elements: -45.54 kJ/mol of atoms.

The space group is Cmmm (No. 65) and the conventional cell measures 5.384, 16.159 and 7.679 Å, with angles of 90.00, 90.00 and 90.00 degrees. Symmetry generates all atoms from Pr at (0.000, 0.166, 0.000), Sm at (0.000, 0.168, 0.500), Sm at (0.000, 0.500, 0.000), Sm at (0.000, 0.500, 0.500), Hg at (0.000, 0.000, 0.256) and Hg at (0.000, 0.335, 0.257).


# 10
Entry from Alexandria via LeMat-Bulk: a geometry-optimized Pr3Dy6Tm2Sc structure (PBE).

The total energy comes out at -0.3480 Ry per atom. As for the energy of formation from the pure elements: 3.28 kJ/mol of atoms.

The space group is C2/m (No. 12) and the conventional cell measures 6.168, 10.682 and 11.759 Å, with angles of 90.00, 100.07 and 90.00 degrees. Symmetry generates all atoms from Pr at (0.000, 0.000, 0.000), Pr at (0.000, 0.333, 0.000), Dy at (0.246, 0.334, 0.742), Dy at (0.249, 0.000, 0.742), Tm at (0.000, 0.166, 0.500) and Sc at (0.000, 0.500, 0.500).


Please write out number 2 again, unchanged.
Entry from Alexandria via LeMat-Bulk: a geometry-optimized RbPmI3 structure (PBE).

The total energy comes out at -0.2434 Ry per atom.

The space group is Pm-3m (No. 221) and the conventional cell measures 6.202, 6.202 and 6.202 Å, with angles of 90.00, 90.00 and 90.00 degrees. Symmetry generates all atoms from Rb at (0.000, 0.000, 0.000), Pm at (0.500, 0.500, 0.500) and I at (0.000, 0.500, 0.500).